# 1
Here is a relaxed Fe6Ir16Rh7 crystal from Alexandria. Energies are from PBE-GGA.

DOS at the Fermi energy: 38.29 states/eV/f.u.
DFT formation energy: 0.50 eV per atom

Unit cell a=8.7296 b=8.7296 c=8.7296 alpha=60.00 beta=60.00 gamma=60.00
Closest atoms and distances in Å follow each position.
Sites, in units of the cell vectors:
Ir 0.8807 0.8807 0.8807  4 Rh 2.55-2.72, 3 Ir 2.75, 3 Fe 2.76
Ir 0.8807 0.3579 0.8807  4 Rh 2.55-2.72, 3 Ir 2.75, 3 Fe 2.76
Ir 0.0110 0.3297 0.3297  3 Rh 2.52, 6 Ir 2.75-2.78
Ir 0.3297 0.0110 0.3297  3 Rh 2.52, 6 Ir 2.75-2.78
Ir 0.3297 0.3297 0.3297  3 Rh 2.52, 6 Ir 2.75-2.78
Ir 0.8807 0.8807 0.3579  4 Rh 2.55-2.72, 3 Ir 2.75, 3 Fe 2.76
Ir 0.6421 0.1193 0.1193  4 Rh 2.55-2.72, 3 Ir 2.75, 3 Fe 2.76
Ir 0.1193 0.6421 0.1193  4 Rh 2.55-2.72, 3 Ir 2.75, 3 Fe 2.76
Ir 0.3297 0.3297 0.0110  3 Rh 2.52, 6 Ir 2.75-2.78
Ir 0.6703 0.6703 0.6703  3 Rh 2.52, 6 Ir 2.75-2.78
Ir 0.6703 0.9890 0.6703  3 Rh 2.52, 6 Ir 2.75-2.78
Ir 0.3579 0.8807 0.8807  4 Rh 2.55-2.72, 3 Ir 2.75, 3 Fe 2.76
Ir 0.1193 0.1193 0.1193  4 Rh 2.55-2.72, 3 Ir 2.75, 3 Fe 2.76
Ir 0.6703 0.6703 0.9890  3 Rh 2.52, 6 Ir 2.75-2.78
Ir 0.9890 0.6703 0.6703  3 Rh 2.52, 6 Ir 2.75-2.78
Ir 0.1193 0.1193 0.6421  4 Rh 2.55-2.72, 3 Ir 2.75, 3 Fe 2.76
Fe 0.7343 0.2657 0.2657  8 Ir 2.76-3.08
Fe 0.2657 0.7343 0.2657  8 Ir 2.76-3.08
Fe 0.7343 0.2657 0.7343  8 Ir 2.76-3.08
Fe 0.2657 0.7343 0.7343  8 Ir 2.76-3.08
Fe 0.2657 0.2657 0.7343  8 Ir 2.76-3.08
Fe 0.7343 0.7343 0.2657  8 Ir 2.76-3.08
Rh 0.5000 0.0000 0.0000  8 Ir 2.52-2.72
Rh 0.5000 0.0000 0.5000  8 Ir 2.52-2.72
Rh 0.0000 0.5000 0.5000  8 Ir 2.52-2.72
Rh 0.0000 0.0000 0.0000  8 Ir 2.55
Rh 0.0000 0.0000 0.5000  8 Ir 2.52-2.72
Rh 0.5000 0.5000 0.0000  8 Ir 2.52-2.72
Rh 0.0000 0.5000 0.0000  8 Ir 2.52-2.72

---

# 2
Here is a relaxed FeIrRh2 crystal from Alexandria. Energies are from PBE-GGA.

DOS at the Fermi energy: 5.00 states/eV/f.u.
DFT formation energy: -0.03 eV per atom

Unit cell a=3.7914 b=2.7099 c=6.0307 alpha=63.26 beta=90.00 gamma=90.00
Closest atoms and distances in Å follow each position.
Sites, in units of the cell vectors:
Rh 0.0000 0.5030 0.4978  4 Rh 2.67-2.72, 4 Fe 2.68-2.69, 4 Ir 2.70
Rh 0.0000 0.9970 0.0022  4 Rh 2.67-2.72, 4 Fe 2.68-2.69, 4 Ir 2.70
Fe 0.5000 0.2500 0.2500  8 Rh 2.68-2.69, 2 Ir 2.69, 2 Fe 2.71
Ir 0.5000 0.7500 0.7500  2 Fe 2.69, 8 Rh 2.70, 2 Ir 2.71

---

# 3
Here is a relaxed FeIrRh crystal from Alexandria. Energies are from PBE-GGA.

DOS at the Fermi energy: 3.49 states/eV/f.u.
DFT formation energy: 0.33 eV per atom
energy relative to the lowest polymorph listed for this composition: 0.358 eV per atom

Unit cell a=3.9930 b=5.7316 c=7.9783 alpha=90.00 beta=90.00 gamma=90.00
Closest atoms and distances in Å follow each position.
Sites, in units of the cell vectors:
Ir 0.2500 0.5020 0.8784  4 Fe 2.46
Ir 0.7500 0.0020 0.6216  4 Fe 2.46
Ir 0.7500 0.4980 0.1216  4 Fe 2.46
Ir 0.2500 0.9980 0.3784  4 Fe 2.46
Rh 0.2500 0.0016 0.8743  4 Fe 2.44-2.46
Rh 0.7500 0.5016 0.6257  4 Fe 2.44-2.46
Rh 0.7500 0.9984 0.1257  4 Fe 2.44-2.46
Rh 0.2500 0.4984 0.3743  4 Fe 2.44-2.46
Fe 0.2500 0.2522 0.6270  4 Rh 2.44-2.46, 4 Ir 2.46
Fe 0.7500 0.7522 0.8730  4 Rh 2.44-2.46, 4 Ir 2.46
Fe 0.7500 0.7478 0.3730  4 Rh 2.44-2.46, 4 Ir 2.46
Fe 0.2500 0.2478 0.1270  4 Rh 2.44-2.46, 4 Ir 2.46

---

# 4
Here is a relaxed FeIr2Rh crystal from Alexandria. Energies are from PBE-GGA.

DOS at the Fermi energy: 5.56 states/eV/f.u.
DFT formation energy: 0.19 eV per atom

Unit cell a=5.2596 b=5.2596 c=5.2596 alpha=149.76 beta=128.95 gamma=60.49
Closest atoms and distances in Å follow each position.
Sites, in units of the cell vectors:
Fe 0.2476 0.7476 0.5000  6 Ir 2.52-2.65, 2 Rh 2.54, 2 Fe 2.74
Rh 0.4824 0.4824 0.0000  2 Fe 2.54, 6 Ir 2.67-2.83, 2 Rh 2.74
Ir 0.7551 0.2551 0.5000  4 Fe 2.65, 4 Ir 2.73-2.74, 2 Rh 2.83
Ir 0.0149 0.0149 0.0000  2 Fe 2.52, 4 Rh 2.67, 4 Ir 2.73-2.74

---

# 5
Here is a relaxed FeIr2Rh5 crystal from Alexandria. Energies are from PBE-GGA.

DOS at the Fermi energy: 11.95 states/eV/f.u.
DFT formation energy: 0.26 eV per atom
energy relative to the lowest polymorph listed for this composition: 0.284 eV per atom

Unit cell a=6.5906 b=6.5906 c=7.1804 alpha=117.32 beta=117.32 gamma=90.00
Closest atoms and distances in Å follow each position.
Sites, in units of the cell vectors:
Rh 0.0000 0.0000 0.0000  4 Ir 2.56, 2 Fe 2.73
Rh 0.5154 0.3180 0.3333  4 Rh 2.59-2.82, 3 Ir 2.63-2.70, 2 Fe 2.67
Rh 0.3180 0.8180 0.3333  4 Rh 2.59-2.82, 3 Ir 2.63-2.70, 2 Fe 2.67
Rh 0.0154 0.5154 0.3333  4 Rh 2.59-2.82, 3 Ir 2.63-2.70, 2 Fe 2.67
Rh 0.8180 0.0154 0.3333  4 Rh 2.59-2.82, 3 Ir 2.63-2.70, 2 Fe 2.67
Rh 0.4846 0.6820 0.6667  4 Rh 2.59-2.82, 3 Ir 2.63-2.70, 2 Fe 2.67
Rh 0.9846 0.4846 0.6667  4 Rh 2.59-2.82, 3 Ir 2.63-2.70, 2 Fe 2.67
Rh 0.1820 0.9846 0.6667  4 Rh 2.59-2.82, 3 Ir 2.63-2.70, 2 Fe 2.67
Rh 0.6820 0.1820 0.6667  4 Rh 2.59-2.82, 3 Ir 2.63-2.70, 2 Fe 2.67
Rh 0.5000 0.5000 0.0000  4 Ir 2.56, 2 Fe 2.73
Ir 0.3645 0.8645 0.0000  1 Ir 2.53, 8 Rh 2.56-2.70
Ir 0.6355 0.1355 0.0000  1 Ir 2.53, 8 Rh 2.56-2.70
Ir 0.1355 0.3645 0.0000  1 Ir 2.53, 8 Rh 2.56-2.70
Ir 0.8645 0.6355 0.0000  1 Ir 2.53, 8 Rh 2.56-2.70
Fe 0.7500 0.7500 0.5000  10 Rh 2.67-2.73
Fe 0.2500 0.2500 0.5000  10 Rh 2.67-2.73

---

# 6
Here is a relaxed Fe4Ir3Rh crystal from Alexandria. Energies are from PBE-GGA.

DOS at the Fermi energy: 7.51 states/eV/f.u.
DFT formation energy: -0.03 eV per atom

Unit cell a=3.6450 b=3.7839 c=7.5624 alpha=90.00 beta=90.00 gamma=90.00
Closest atoms and distances in Å follow each position.
Sites, in units of the cell vectors:
Ir 0.5000 0.5000 0.5000  8 Fe 2.61-2.63, 4 Ir 2.67
Ir 0.5000 0.0000 0.2508  8 Fe 2.62-2.63, 2 Ir 2.67, 2 Rh 2.68
Ir 0.5000 0.0000 0.7492  8 Fe 2.62-2.63, 2 Ir 2.67, 2 Rh 2.68
Fe 0.0000 0.5000 0.7479  6 Ir 2.61-2.63, 2 Rh 2.64, 4 Fe 2.66-2.69
Fe 0.0000 0.0000 0.0000  4 Rh 2.63, 4 Ir 2.63, 4 Fe 2.69
Fe 0.0000 0.5000 0.2521  6 Ir 2.61-2.63, 2 Rh 2.64, 4 Fe 2.66-2.69
Fe 0.0000 0.0000 0.5000  8 Ir 2.62-2.63, 4 Fe 2.66
Rh 0.5000 0.5000 0.0000  8 Fe 2.63-2.64, 4 Ir 2.68

---

Question: Number 2 is which compound?
Answer: FeIrRh2

---

Question: Look up the DFT formation energy of the fourth one.
Answer: 0.19 eV per atom

---

Question: Among the records above, which one has the highest DOS at the Fermi energy?
Answer: Fe6Ir16Rh7